(1)
The following is a DFT calculation (PBE) of a geometry-optimized Al2RuPb structure.

a = 4.664 Å, b = 4.664 Å, c = 4.664 Å
α = 60.00°, β = 60.00°, γ = 60.00°
Fractional positions:
Al 0.000 0.000 0.000
Al 0.250 0.250 0.250
Ru 0.750 0.750 0.750
Pb 0.500 0.500 0.500

Results
- Energy relative to the elements: 0.33 eV/atom

=====

(2)
The following is a DFT calculation (PBE) of a geometry-optimized AlRuPb2S structure.

a = 5.543 Å, b = 5.543 Å, c = 4.310 Å
α = 90.00°, β = 90.00°, γ = 90.00°
Fractional positions:
Al 0.000 0.000 0.000
Ru 0.500 0.500 0.500
Pb 0.000 0.500 0.500
Pb 0.500 0.000 0.500
S 0.500 0.500 0.000

Results
- E above lowest polymorph: 0 meV per atom

=====

(3)
The following is a DFT calculation (PBE) of a geometry-optimized AlRuPb2S structure.

a = 5.619 Å, b = 5.619 Å, c = 4.282 Å
α = 90.00°, β = 90.00°, γ = 90.00°
Fractional positions:
Al 0.000 0.000 0.000
Ru 0.500 0.500 0.000
Pb 0.000 0.500 0.500
Pb 0.500 0.000 0.500
S 0.500 0.500 0.500

Results
- E above lowest polymorph: 175 meV per atom

=====

(4)
The following is a DFT calculation (PBE) of a geometry-optimized AlSb2RuPb structure.

a = 5.199 Å, b = 5.199 Å, c = 5.247 Å
α = 90.00°, β = 90.00°, γ = 90.00°
Fractional positions:
Al 0.000 0.000 0.000
Sb 0.000 0.500 0.000
Sb 0.500 0.000 0.000
Ru 0.500 0.500 0.500
Pb 0.000 0.000 0.500

=====

(5)
The following is a DFT calculation (PBE) of a geometry-optimized AlSi2RuPb structure.

a = 4.625 Å, b = 4.625 Å, c = 5.346 Å
α = 90.00°, β = 90.00°, γ = 90.00°
Fractional positions:
Al 0.000 0.000 0.000
Si 0.000 0.500 0.000
Si 0.500 0.000 0.000
Ru 0.500 0.500 0.500
Pb 0.000 0.000 0.500

=====

(6)
The following is a DFT calculation (PBE) of a geometry-optimized SrAl2RuPb structure.

a = 5.686 Å, b = 5.686 Å, c = 4.815 Å
α = 90.00°, β = 90.00°, γ = 90.00°
Fractional positions:
Sr 0.000 0.000 0.000
Al 0.000 0.500 0.000
Al 0.500 0.000 0.000
Ru 0.000 0.000 0.500
Pb 0.500 0.500 0.500

Results
- Energy relative to the elements: 1.55 eV/atom

=====

| no. | raw total energy (eV per cell) | DOS at the Fermi energy (states/eV per atom) |
| --- | --- | --- |
| 1 | -19.154 | 0.27 |
| 2 | -22.847 | 0.69 |
| 3 | -21.971 | 0.93 |
| 4 | -19.069 | 1.33 |
| 5 | -20.820 | 1.00 |
| 6 | -14.417 | 1.12 |